Here is HfMg30CoO32 after structural relaxation from Alexandria via LeMat-Bulk. Energies are from GGA-PBEsol.

a b c (Å): 8.4921 8.4921 8.4943
angles (deg): 90.00 90.00 90.00
Closest atoms and distances in Å follow each position.
Fractional positions:
Hf1 0.0000 0.0000 0.0000  6 O 2.05-2.14
Mg1 0.0000 0.2533 0.2586  6 O 2.05-2.20
Mg2 0.0000 0.2533 0.7414  6 O 2.05-2.20
Mg3 0.0000 0.5000 0.0000  6 O 2.10-2.12
Mg4 0.0000 0.5000 0.5000  6 O 2.04-2.14
Mg5 0.0000 0.7467 0.2586  6 O 2.05-2.20
Mg6 0.0000 0.7467 0.7414  6 O 2.05-2.20
Mg7 0.2482 0.2482 0.5000  6 O 2.11-2.14
Mg8 0.2482 0.7518 0.5000  6 O 2.11-2.14
Mg9 0.2504 0.5000 0.2516  6 O 2.11-2.14
Mg10 0.2504 0.5000 0.7484  6 O 2.11-2.14
Mg11 0.2533 0.0000 0.2586  6 O 2.05-2.20
Mg12 0.2533 0.0000 0.7414  6 O 2.05-2.20
Mg13 0.2542 0.2542 0.0000  6 O 2.09-2.16
Mg14 0.2542 0.7458 0.0000  6 O 2.09-2.16
Mg15 0.5000 0.0000 0.0000  6 O 2.10-2.12
Mg16 0.5000 0.0000 0.5000  6 O 2.04-2.14
Mg17 0.5000 0.2504 0.2516  6 O 2.11-2.14
Mg18 0.5000 0.2504 0.7484  6 O 2.11-2.14
Mg19 0.5000 0.5000 0.0000  6 O 2.12
Mg20 0.5000 0.5000 0.5000  6 O 2.11-2.13
Mg21 0.5000 0.7496 0.2516  6 O 2.11-2.14
Mg22 0.5000 0.7496 0.7484  6 O 2.11-2.14
Mg23 0.7458 0.2542 0.0000  6 O 2.09-2.16
Mg24 0.7458 0.7458 0.0000  6 O 2.09-2.16
Mg25 0.7467 0.0000 0.2586  6 O 2.05-2.20
Mg26 0.7467 0.0000 0.7414  6 O 2.05-2.20
Mg27 0.7496 0.5000 0.2516  6 O 2.11-2.14
Mg28 0.7496 0.5000 0.7484  6 O 2.11-2.14
Mg29 0.7518 0.2482 0.5000  6 O 2.11-2.14
Mg30 0.7518 0.7518 0.5000  6 O 2.11-2.14
Co1 0.0000 0.0000 0.5000  6 O 2.20-2.21
O1 0.0000 0.0000 0.2408  1 Hf 2.05, 4 Mg 2.16, 1 Co 2.20
O2 0.0000 0.0000 0.7592  1 Hf 2.05, 4 Mg 2.16, 1 Co 2.20
O3 0.0000 0.2517 0.0000  5 Mg 2.11-2.20, 1 Hf 2.14
O4 0.0000 0.2604 0.5000  5 Mg 2.04-2.11, 1 Co 2.21
O5 0.0000 0.5000 0.2478  6 Mg 2.10-2.14
O6 0.0000 0.5000 0.7522  6 Mg 2.10-2.14
O7 0.0000 0.7396 0.5000  5 Mg 2.04-2.11, 1 Co 2.21
O8 0.0000 0.7483 0.0000  5 Mg 2.11-2.20, 1 Hf 2.14
O9 0.2490 0.2490 0.2493  6 Mg 2.12-2.13
O10 0.2490 0.2490 0.7507  6 Mg 2.12-2.13
O11 0.2490 0.7510 0.2493  6 Mg 2.12-2.13
O12 0.2490 0.7510 0.7507  6 Mg 2.12-2.13
O13 0.2502 0.5000 0.0000  6 Mg 2.09-2.14
O14 0.2511 0.5000 0.5000  6 Mg 2.11-2.14
O15 0.2517 0.0000 0.0000  5 Mg 2.11-2.20, 1 Hf 2.14
O16 0.2604 0.0000 0.5000  5 Mg 2.04-2.11, 1 Co 2.21
O17 0.5000 0.0000 0.2478  6 Mg 2.10-2.14
O18 0.5000 0.0000 0.7522  6 Mg 2.10-2.14
O19 0.5000 0.2502 0.0000  6 Mg 2.09-2.14
O20 0.5000 0.2511 0.5000  6 Mg 2.11-2.14
O21 0.5000 0.5000 0.2491  6 Mg 2.12-2.13
O22 0.5000 0.5000 0.7509  6 Mg 2.12-2.13
O23 0.5000 0.7489 0.5000  6 Mg 2.11-2.14
O24 0.5000 0.7498 0.0000  6 Mg 2.09-2.14
O25 0.7396 0.0000 0.5000  5 Mg 2.04-2.11, 1 Co 2.21
O26 0.7483 0.0000 0.0000  5 Mg 2.11-2.20, 1 Hf 2.14
O27 0.7489 0.5000 0.5000  6 Mg 2.11-2.14
O28 0.7498 0.5000 0.0000  6 Mg 2.09-2.14
O29 0.7510 0.2490 0.2493  6 Mg 2.12-2.13
O30 0.7510 0.2490 0.7507  6 Mg 2.12-2.13
O31 0.7510 0.7510 0.2493  6 Mg 2.12-2.13
O32 0.7510 0.7510 0.7507  6 Mg 2.12-2.13

Calculated values
total magnetic moment = 0.04 μB/atom
energy = -407.022 eV per cell
DOS(E_F) = 0.07 states/eV per atom
energy relative to the elements, uncorrected = -2.645 eV/atom